Computed, not measured: an optimized crystal structure of Li2CoSiRu at the GGA-PBE level of DFT.

```
5
Lattice="-0.494 -1.612 3.957 1.592 -3.601 -1.268 3.939 1.371 1.051" Properties=species:S:1:pos:R:3 pbc="T T T"
Ru 2.518 -1.921 1.870
Li 1.970 0.686 0.525
Si 0.000 0.000 0.000
Li -0.247 -0.806 1.978
Co 0.796 -1.800 -0.634
```

- DOS at the Fermi energy: 4.8 states/eV/f.u.
- Space group: P4/mmm
- E: -4.296 eV/atom
- Uncorrected formation energy: 80.1 kJ per mole of atoms

Computed, not measured: an optimized crystal structure of Nd3Y12Er at the GGA-PBE level of DFT.

```
16
Lattice="-0.528 4.313 -2.620 -5.018 -0.726 -0.183 -2.123 10.293 17.372" Properties=species:S:1:pos:R:3 pbc="T T T"
Y -3.834 6.940 7.285
Y -3.300 4.351 2.915
Y -2.770 0.904 2.047
Y -2.126 11.182 13.924
Y -1.059 6.010 5.194
Y -1.592 8.596 9.558
Y -3.304 3.491 6.412
Er 0.000 0.000 0.000
Y -4.370 8.663 15.142
Y -4.368 9.529 11.655
Nd -0.529 2.565 4.330
Y -2.773 1.793 -1.401
Nd -1.594 7.728 13.043
Y -3.837 6.076 10.777
Y -0.525 3.423 0.829
Nd -1.061 5.146 8.686
```

- DOS at the Fermi energy: 23.6 states/eV/f.u.
- Space group: P4/mmm
- Formation energy from the elements: 0.023 eV per atom
- E: -6.005 eV/atom

Computed, not measured: an optimized crystal structure of TbErTe2S at the GGA-PBE level of DFT.

```
10
Lattice="-1.836 -1.489 3.694 3.818 -1.816 1.166 4.028 13.161 7.308" Properties=species:S:1:pos:R:3 pbc="T T T"
Te 0.285 3.187 4.030
Er -0.460 0.751 2.678
Te 4.734 8.322 5.708
Er 5.480 10.758 7.060
S 2.014 6.581 3.654
Te 2.741 11.212 8.486
Te 2.278 0.297 1.252
Tb 3.515 4.340 3.497
S 3.005 4.928 6.084
Tb 1.504 7.168 6.241
```

- DOS at the Fermi energy: 1.5 states/eV/f.u.
- Space group: P4/nmm
- E: -5.377 eV/atom
- Uncorrected formation energy: -140.5 kJ per mole of atoms

Computed, not measured: an optimized crystal structure of YbNdCuSe3 at the GGA-PBE level of DFT.

```
12
Lattice="-2.393 -2.027 2.563 6.305 -2.658 0.587 2.329 7.276 7.928" Properties=species:S:1:pos:R:3 pbc="T T T"
Se 1.494 1.161 2.318
Se 4.748 1.430 8.760
Yb 4.224 3.679 6.850
Nd 0.000 0.000 0.000
Cu 0.814 4.259 7.319
Cu 5.428 -1.668 3.759
Yb 2.018 -1.087 4.227
Se 1.665 2.127 6.435
Se 4.577 0.464 4.643
Se 2.454 4.593 9.122
Nd 1.165 3.638 3.964
Se 3.788 -2.002 1.956
```

- Space group: P2_1/m
- E: -4.994 eV/atom
- Uncorrected formation energy: -146.6 kJ per mole of atoms